Computed, not measured: crystalline Pr4Nd4Ho3 at its relaxed geometry at the PBE-GGA level of DFT.

a b c (Å): 3.6841 9.5870 22.0324
angles (deg): 90.00 90.00 90.00
With the nearest neighbours (Å) after each atom.
Space group Immm (No. 71)
One atom of each set of equivalent atoms:
1 Pr 0.0000 0.0000 0.2382  2 Ho 3.44, 6 Nd 3.63-3.77, 2 Pr 3.68
2 Pr 0.0000 0.1864 0.0000  2 Nd 3.40, 6 Ho 3.48-3.53, 3 Pr 3.57-3.68
3 Nd 0.0000 0.3256 0.1421  3 Nd 3.34-3.68, 3 Pr 3.40-3.63, 2 Ho 3.71
4 Ho 0.0000 0.0000 0.5000  4 Pr 3.53, 2 Ho 3.68
5 Ho 0.0000 0.5000 0.3935  6 Pr 3.44-3.48, 2 Ho 3.68, 4 Nd 3.71

Computed properties:
The value obtained for the energy above the most stable polymorph in this dataset is 0.067 eV/atom. The value obtained for the total energy is -4.60 eV per atom. Its energy of formation is 1.360 eV per formula unit. The calculation puts the density of states at the Fermi level at 35.1 states/eV/cell.



Computed, not measured: crystalline KGa2AgPd at its relaxed geometry at the PBE-GGA level of DFT.

a b c (Å): 4.8263 4.8263 5.4396
angles (deg): 90.00 90.00 90.00
With the nearest neighbours (Å) after each atom.
Space group P4/mmm (No. 123)
One atom of each set of equivalent atoms:
1 K 0.0000 0.0000 0.0000  4 Ag 3.41, 8 Ga 3.64
2 Ga 0.0000 0.5000 0.5000  2 Pd 2.41
3 Ag 0.5000 0.5000 0.0000  2 Pd 2.72
4 Pd 0.5000 0.5000 0.5000  4 Ga 2.41

Computed properties:
The value obtained for the total energy is -3.19 eV per atom. Its energy of formation is -0.754 eV per formula unit. The calculation puts the density of states at the Fermi level at 2.0 states/eV/cell.



Computed, not measured: crystalline Rb2CuOsBr6 at its relaxed geometry at the PBE-GGA level of DFT.

a b c (Å): 10.4904 10.4904 10.4904
angles (deg): 90.00 90.00 90.00
With the nearest neighbours (Å) after each atom.
Space group Fm-3m (No. 225)
One atom of each set of equivalent atoms:
1 Rb 0.2500 0.2500 0.2500  12 Br 3.71
2 Cu 0.0000 0.0000 0.0000  6 Br 2.69
3 Os 0.0000 0.0000 0.5000  6 Br 2.56
4 Br 0.0000 0.0000 0.2561  1 Os 2.56, 1 Cu 2.69

Computed properties:
The value obtained for the total energy is -3.40 eV per atom. The calculation puts the raw formation energy at -0.668 eV/atom. The calculation puts the density of states at the Fermi level at 36.3 states/eV/cell.



Computed, not measured: crystalline Hf2TeOsPd at its relaxed geometry at the PBE-GGA level of DFT.

a b c (Å): 5.1767 5.1767 4.6677
angles (deg): 90.00 90.00 90.00
With the nearest neighbours (Å) after each atom.
Space group P4/mmm (No. 123)
One atom of each set of equivalent atoms:
1 Hf 0.0000 0.5000 0.0000  2 Te 2.59
2 Te 0.0000 0.0000 0.0000  2 Pd 2.33, 4 Hf 2.59
3 Os 0.5000 0.5000 0.5000  8 Hf 3.49, 4 Pd 3.66
4 Pd 0.0000 0.0000 0.5000  2 Te 2.33

Computed properties:
The value obtained for the total energy is -6.60 eV per atom. The calculation puts the raw formation energy at 1.299 eV/atom. The calculation puts the density of states at the Fermi level at 4.0 states/eV/cell.



Computed, not measured: crystalline BaAg4 at its relaxed geometry at the PBE-GGA level of DFT.

a b c (Å): 10.0610 10.0610 10.0610
angles (deg): 90.00 90.00 90.00
With the nearest neighbours (Å) after each atom.
Space group I-43m (No. 217)
One atom of each set of equivalent atoms:
1 Ba 0.2173 0.2173 0.2173  4 Ag 3.19-3.40
2 Ag 0.0000 0.0000 0.3577  7 Ag 2.86-2.96
3 Ag 0.0000 0.2500 0.5000  4 Ag 2.89
4 Ag 0.0999 0.0999 0.9001  6 Ag 2.84-2.96

Computed properties:
The value obtained for the total energy is -2.78 eV per atom. Its energy of formation is -0.571 eV per formula unit. The calculation puts the density of states at the Fermi level at 15.0 states/eV/cell.



Computed, not measured: crystalline Ca2TaTc at its relaxed geometry at the PBE-GGA level of DFT.

a b c (Å): 3.3828 3.3820 8.9225
angles (deg): 90.00 90.09 90.00
With the nearest neighbours (Å) after each atom.
Space group Pm (No. 6)
One atom of each set of equivalent atoms:
1 Ca 0.0000 0.0000 0.0000  4 Tc 3.20, 1 Ta 3.23, 4 Ca 3.38
2 Ca 0.4989 0.5000 0.6330  4 Ca 3.38, 4 Ta 3.40, 1 Tc 3.52
3 Ta 0.9992 0.0000 0.3625  4 Tc 2.63-2.64
4 Tc 0.4994 0.5000 0.2383  4 Ta 2.63-2.64

Computed properties:
The value obtained for the energy above the most stable polymorph in this dataset is 0.000 eV/atom. The value obtained for the total energy is -6.40 eV per atom. Its energy of formation is 0.638 eV per formula unit. The calculation puts the density of states at the Fermi level at 3.3 states/eV/cell.